[1]
# Sc2CF

A relaxed structure of Sc2CF (PBE-GGA, Alexandria).

Structure (POSCAR):
```
Sc2CF
1.0
-6.2811 -2.3229 -0.3830
-5.0777 -3.5017 2.6361
-6.2609 -0.2623 2.3930
Sc C F
2 1 1
direct
0.1079 0.1079 0.1079 Sc
0.8921 0.8921 0.8921 Sc
0.5000 0.5000 0.5000 C
0.0000 0.0000 0.0000 F
```

Values from the calculation:
- Crystal system: trigonal



[2]
# Sc2CF

A relaxed structure of Sc2CF (PBE-GGA, Alexandria).

Structure (POSCAR):
```
Sc2CF
1.0
1.8165 0.0000 7.6562
-0.9083 1.5732 7.6562
-0.9083 -1.5732 7.6562
C Sc F
1 2 1
direct
0.0000 0.0000 0.0000 C
0.0917 0.0917 0.0917 Sc
0.9083 0.9083 0.9083 Sc
0.5000 0.5000 0.5000 F
```

Values from the calculation:
- Crystal system: trigonal



Values of raw formation energy, in order: -1.612, -0.159, all in eV per atom.